Material: MnRhO3
Method: DFT, GGA+U
State: relaxed

Cell and atoms, written as extended XYZ:
```
20
Lattice="5.373 -3.772 0.000 5.373 3.772 0.000 -0.512 0.000 5.374" Properties=species:S:1:pos:R:3 pbc="T T T"
Mn 4.989 3.005 4.031
Mn 5.245 1.133 1.344
Mn 4.989 -1.133 4.031
Mn 5.245 -3.005 1.344
Rh 2.316 0.682 4.223
Rh 2.572 -0.682 1.536
Rh 7.662 0.682 3.838
Rh 7.918 -0.682 1.151
O 1.830 1.220 0.724
O 4.265 2.676 2.202
O 6.225 2.676 0.485
O 1.574 -1.220 3.411
O 3.765 0.120 2.899
O 4.021 -0.120 0.212
O 6.213 0.120 5.162
O 6.469 -0.120 2.475
O 8.660 1.220 1.963
O 4.009 -2.676 4.889
O 5.969 -2.676 3.172
O 8.404 -1.220 4.650
```

Values from the calculation:
electronic total energy	-138.304	eV per cell
calculated volume	217.8	Å³ per cell